## SiBRhCS (GGA-PBE)

Data for a relaxed SiBRhCS crystal.

Results
The calculation puts the density of states at the Fermi level at 4.2 states/eV per cell. The space group is Cm, No. 8. As for the uncorrected formation energy: 75 meV per atom.

Unit cell a=6.1363 b=2.8656 c=7.5429 alpha=90.00 beta=103.88 gamma=90.00
Fractional positions:
S1 0.1456 0.5000 0.1835
Rh1 0.9268 0.5000 0.8805
C1 0.5671 0.0000 0.1825
S2 0.1456 0.0000 0.6835
Si1 0.6877 0.0000 0.9815
B1 0.4610 0.5000 0.2116
Si2 0.6877 0.5000 0.4815
C2 0.5671 0.5000 0.6825
B2 0.4610 0.0000 0.7116
Rh2 0.9268 0.0000 0.3805

***

## SiBRhCS (GGA-PBE)

Data for a relaxed SiBRhCS crystal.

Results
The calculation puts the density of states at the Fermi level at 2.0 states/eV per cell. The space group is Pmm2, No. 25. As for the uncorrected formation energy: -88 meV per atom.

Unit cell a=3.0136 b=2.7466 c=7.5309 alpha=90.00 beta=90.00 gamma=90.00
Fractional positions:
S1 0.5000 0.5000 0.7553
Rh1 0.5000 0.5000 0.0707
B1 0.0000 0.5000 0.5875
C1 0.0000 0.0000 0.4754
Si1 0.5000 0.0000 0.3229

***

## SiBRhCS (GGA-PBE)

Data for a relaxed SiBRhCS crystal.

Results
The calculation puts the density of states at the Fermi level at 1.0 states/eV per cell. The space group is P1, No. 1. As for the uncorrected formation energy: 24 meV per atom.

Unit cell a=3.1755 b=4.2354 c=5.6821 alpha=111.23 beta=90.16 gamma=107.16
Fractional positions:
C1 0.1970 0.3837 0.7771
B1 0.1056 0.1371 0.9212
Rh1 0.5292 0.9385 0.0604
Si1 0.7481 0.5180 0.6783
S1 0.7839 0.5660 0.3180

***

## SiBRhCS (GGA-PBE)

Data for a relaxed SiBRhCS crystal.

Results
The calculation puts the density of states at the Fermi level at 0.4 states/eV per cell. The space group is P1, No. 1. As for the uncorrected formation energy: -57 meV per atom.

Unit cell a=3.0662 b=3.9842 c=5.6667 alpha=101.73 beta=94.94 gamma=108.95
Fractional positions:
C1 0.2774 0.2034 0.5837
B1 0.1173 0.9123 0.3425
Si1 0.8946 0.4255 0.7176
S1 0.4908 0.6737 0.1946
Rh1 0.2523 0.0301 0.9498

***

## SiBRhCS (GGA-PBE)

Data for a relaxed SiBRhCS crystal.

Results
The calculation puts the density of states at the Fermi level at 2.6 states/eV per cell. The space group is P3m1, No. 156. As for the uncorrected formation energy: -31 meV per atom.

Unit cell a=2.9582 b=2.9582 c=7.7568 alpha=90.00 beta=90.00 gamma=120.00
Fractional positions:
Si1 0.3333 0.6667 0.6788
S1 0.0000 0.0000 0.2499
C1 0.6667 0.3333 0.5646
Rh1 0.0000 0.0000 0.9293
B1 0.6667 0.3333 0.3657

***

## TbB2Rh2C (GGA-PBE)

Data for a relaxed TbB2Rh2C crystal.

Results
The total energy is -45.5 eV per cell. The calculation puts the density of states at the Fermi level at 2.2 states/eV per cell. The space group is C2/m, No. 12.

Unit cell a=3.8096 b=3.8096 c=5.8627 alpha=109.49 beta=109.49 gamma=89.98
Fractional positions:
C1 0.0000 0.0000 0.0000
Rh1 0.2500 0.7501 0.5000
Rh2 0.7501 0.2500 0.5000
B1 0.8587 0.8587 0.7107
Tb1 0.5000 0.5000 0.0000
B2 0.1413 0.1413 0.2893

***

What did the fifth record say?
## SiBRhCS (GGA-PBE)

Data for a relaxed SiBRhCS crystal.

Results
The calculation puts the density of states at the Fermi level at 2.6 states/eV per cell. The space group is P3m1, No. 156. As for the uncorrected formation energy: -31 meV per atom.

Unit cell a=2.9582 b=2.9582 c=7.7568 alpha=90.00 beta=90.00 gamma=120.00
Fractional positions:
Si1 0.3333 0.6667 0.6788
S1 0.0000 0.0000 0.2499
C1 0.6667 0.3333 0.5646
Rh1 0.0000 0.0000 0.9293
B1 0.6667 0.3333 0.3657

***

- Number 1 is which compound?
  SiBRhCS